DFT (PBE with a Hubbard U) results for an optimized crystal structure of KAl2VO6.

POSCAR file:
```
KAl2VO6
1.0
-4.1816 4.1314 -1.4848
-5.4134 -4.0006 -2.6718
-2.3092 2.4113 6.4266
K Al V O
2 4 2 12
direct
0.2500 0.8986 0.1014
0.7500 0.1014 0.8986
0.3488 0.6927 0.5504
0.1512 0.4496 0.3073
0.6512 0.3073 0.4496
0.8488 0.5504 0.6927
0.2500 0.2024 0.7976
0.7500 0.7976 0.2024
0.2352 0.9559 0.7410
0.2648 0.2590 0.0441
0.7648 0.0441 0.2590
0.7352 0.7410 0.9559
0.4902 0.7885 0.3556
0.0098 0.6444 0.2115
0.5098 0.2115 0.6444
0.9902 0.3556 0.7885
0.0543 0.6613 0.5768
0.4457 0.4232 0.3387
0.9457 0.3387 0.4232
0.5543 0.5768 0.6613
```

**Total moment**: 0.00 μB per formula unit
**Electronic total energy**: -7.04 eV per atom
**SG**: C2/c
**Fermi-level density of states**: 0.00 states/eV per cell